# 1
# PBE LaNd9Ho2, optimized geometry
# **Formation enthalpy at 0 K**: 0.017 eV per atom
# **Magnetization**: 0.0 μB per cell
data_LaNd9Ho2
_chemical_formula_sum 'La1 Nd9 Ho2'
_space_group_name_H-M_alt 'P 4/m m m'
_space_group_IT_number 123
_space_group_name_Hall '-P 4 2'
_cell_length_a 5.1746
_cell_length_b 5.1746
_cell_length_c 15.5476
_cell_angle_alpha 90.00
_cell_angle_beta 90.00
_cell_angle_gamma 90.00
loop_
_atom_site_label
_atom_site_type_symbol
_atom_site_fract_x
_atom_site_fract_y
_atom_site_fract_z
La1 La 0.0000 0.0000 0.0000
Nd1 Nd 0.0000 0.5000 0.1703
Nd2 Nd 0.0000 0.5000 0.5000
Nd3 Nd 0.5000 0.5000 0.0000
Nd4 Nd 0.5000 0.5000 0.3363
Ho1 Ho 0.0000 0.0000 0.3349


# 2
# PBE Hf3CoBi, optimized geometry
# **Formation enthalpy at 0 K**: -0.054 eV per atom
# **Magnetization**: 0.0 μB per cell
data_Hf3CoBi
_chemical_formula_sum 'Hf3 Co1 Bi1'
_space_group_name_H-M_alt 'P m -3 m'
_space_group_IT_number 221
_space_group_name_Hall '-P 4 2 3'
_cell_length_a 4.8288
_cell_length_b 4.8288
_cell_length_c 4.8288
_cell_angle_alpha 90.00
_cell_angle_beta 90.00
_cell_angle_gamma 90.00
loop_
_atom_site_label
_atom_site_type_symbol
_atom_site_fract_x
_atom_site_fract_y
_atom_site_fract_z
Hf1 Hf 0.0000 0.0000 0.5000
Co1 Co 0.0000 0.0000 0.0000
Bi1 Bi 0.5000 0.5000 0.5000


# 3
# PBE Rb2BeSn, optimized geometry
# **Formation enthalpy at 0 K**: 0.752 eV per atom
# **Magnetization**: 7.4 μB per cell
data_Rb2BeSn
_chemical_formula_sum 'Rb8 Be4 Sn4'
_space_group_name_H-M_alt 'F m -3 m'
_space_group_IT_number 225
_space_group_name_Hall '-F 4 2 3'
_cell_length_a 8.7109
_cell_length_b 8.7109
_cell_length_c 8.7109
_cell_angle_alpha 90.00
_cell_angle_beta 90.00
_cell_angle_gamma 90.00
loop_
_atom_site_label
_atom_site_type_symbol
_atom_site_fract_x
_atom_site_fract_y
_atom_site_fract_z
Rb1 Rb 0.2500 0.2500 0.2500
Be1 Be 0.0000 0.0000 0.0000
Sn1 Sn 0.0000 0.0000 0.5000


Q: The highest magnetization belongs to which entry?
A: Rb2BeSn


Q: Number 3 is which compound?
A: Rb2BeSn


Q: formation enthalpy at 0 K of number 2 (Hf3CoBi)?
A: -0.054 eV per atom